(1)
Entry from the Open Quantum Materials Database: a relaxed structure of Hf2TaIn (PBE).

Output
**DFT total energy**: -8.451 eV per atom
**Spin magnetization**: 0.5 μB per formula unit

a b c (Å): 4.880 4.880 4.880
angles (deg): 60.00 60.00 60.00
Element x y z (fractional)
Hf: 0.000 0.000 0.000
Hf: 0.250 0.250 0.250
Ta: 0.750 0.750 0.750
In: 0.500 0.500 0.500

(2)
Entry from the Open Quantum Materials Database: a relaxed structure of Nb2SiMo (PBE).

Output
**DFT total energy**: -9.227 eV per atom
**Spin magnetization**: 0.0 μB per formula unit

a b c (Å): 4.501 4.501 4.501
angles (deg): 60.00 60.00 60.00
Element x y z (fractional)
Nb: 0.000 0.000 0.000
Nb: 0.250 0.250 0.250
Si: 0.500 0.500 0.500
Mo: 0.750 0.750 0.750

(3)
Entry from the Open Quantum Materials Database: a relaxed structure of KTbCdTe3 (PBE).

Output
**DFT total energy**: -3.646 eV per atom
**Spin magnetization**: 0.0 μB per formula unit

a b c (Å): 9.995 9.995 9.784
angles (deg): 103.20 103.20 25.96
Element x y z (fractional)
K: 0.140 0.140 0.068
K: 0.860 0.860 0.932
Tb: 0.176 0.176 0.586
Tb: 0.824 0.824 0.414
Cd: 0.481 0.481 0.280
Cd: 0.519 0.519 0.720
Te: 0.000 0.000 0.500
Te: 0.328 0.328 0.199
Te: 0.337 0.337 0.636
Te: 0.500 0.500 0.000
Te: 0.663 0.663 0.364
Te: 0.672 0.672 0.801